Record 1
Computed, not measured: a relaxed HfUCl crystal at the PBE level of DFT.

Properties
Uncorrected formation energy ... -0.3 eV/f.u.

abc: 10.2158 10.2158 10.2158
angles: 24.45 24.45 24.45
With the nearest neighbours (Å) after each atom.
Positions (direct):
Hf 0.0652 0.0652 0.0652  3 Cl 2.87, 3 U 3.04
Hf 0.9348 0.9348 0.9348  3 Cl 2.87, 3 U 3.04
U 0.3264 0.3264 0.3264  3 U 2.53
U 0.6736 0.6736 0.6736  3 U 2.53
Cl 0.2206 0.2206 0.2206  3 Hf 2.87, 1 U 3.14
Cl 0.7794 0.7794 0.7794  3 Hf 2.87, 1 U 3.14

***

Record 2
Computed, not measured: a relaxed Hf3VCl crystal at the PBE level of DFT.

Properties
Uncorrected formation energy ... 1.7 eV/f.u.
Excess energy over the best structure of this formula in the dataset ... 0 meV per atom

abc: 4.7067 4.7067 4.7067
angles: 90.00 90.00 90.00
With the nearest neighbours (Å) after each atom.
Positions (direct):
Hf 0.0000 0.0000 0.5000  2 Cl 2.35
Hf 0.0000 0.5000 0.0000  2 Cl 2.35
Hf 0.5000 0.0000 0.0000  2 Cl 2.35
V 0.5000 0.5000 0.5000  12 Hf 3.33
Cl 0.0000 0.0000 0.0000  6 Hf 2.35

***

Record 3
Computed, not measured: a relaxed HfV3Cl crystal at the PBE level of DFT.

Properties
Uncorrected formation energy ... 8.9 eV/f.u.
Excess energy over the best structure of this formula in the dataset ... 1470 meV per atom

abc: 4.9346 4.9346 4.9346
angles: 90.00 90.00 90.00
With the nearest neighbours (Å) after each atom.
Positions (direct):
Hf 0.0000 0.0000 0.0000  6 V 2.47
V 0.0000 0.0000 0.5000  2 Hf 2.47
V 0.0000 0.5000 0.0000  2 Hf 2.47
V 0.5000 0.0000 0.0000  2 Hf 2.47
Cl 0.5000 0.5000 0.5000  12 V 3.49

***

Record 4
Computed, not measured: a relaxed HfVCl6 crystal at the PBE level of DFT.

Properties
Uncorrected formation energy ... -12.3 eV/f.u.

abc: 6.0703 12.7277 6.0747
angles: 90.00 108.42 90.00
With the nearest neighbours (Å) after each atom.
Positions (direct):
Hf 0.0000 0.0000 0.0000  6 Cl 2.44-2.48
Hf 0.5000 0.5000 0.0000  6 Cl 2.44-2.48
V 0.0000 0.5000 0.5000  6 Cl 2.47-2.49
V 0.5000 0.0000 0.5000  6 Cl 2.47-2.49
Cl 0.2480 0.0000 0.7528  1 Hf 2.44, 1 V 2.49
Cl 0.2505 0.1356 0.2508  1 V 2.47, 1 Hf 2.48
Cl 0.2495 0.3644 0.7492  1 V 2.47, 1 Hf 2.48
Cl 0.2495 0.6356 0.7492  1 V 2.47, 1 Hf 2.48
Cl 0.2505 0.8644 0.2508  1 V 2.47, 1 Hf 2.48
Cl 0.2520 0.5000 0.2472  1 Hf 2.44, 1 V 2.49
Cl 0.7480 0.5000 0.7528  1 Hf 2.44, 1 V 2.49
Cl 0.7495 0.1356 0.7492  1 V 2.47, 1 Hf 2.48
Cl 0.7505 0.3644 0.2508  1 V 2.47, 1 Hf 2.48
Cl 0.7505 0.6356 0.2508  1 V 2.47, 1 Hf 2.48
Cl 0.7495 0.8644 0.7492  1 V 2.47, 1 Hf 2.48
Cl 0.7520 0.0000 0.2472  1 Hf 2.44, 1 V 2.49

***

Record 5
Computed, not measured: a relaxed Hf3VCl crystal at the PBE level of DFT.

Properties
Uncorrected formation energy ... 4.1 eV/f.u.
Excess energy over the best structure of this formula in the dataset ... 470 meV per atom

abc: 4.9386 4.9386 4.9386
angles: 90.00 90.00 90.00
With the nearest neighbours (Å) after each atom.
Positions (direct):
Hf 0.0000 0.0000 0.5000  2 V 2.47
Hf 0.0000 0.5000 0.0000  2 V 2.47
Hf 0.5000 0.0000 0.0000  2 V 2.47
V 0.0000 0.0000 0.0000  6 Hf 2.47
Cl 0.5000 0.5000 0.5000  12 Hf 3.49

***

Record 6
Computed, not measured: a relaxed HfVCl2 crystal at the PBE level of DFT.

Properties
Uncorrected formation energy ... -0.9 eV/f.u.
Excess energy over the best structure of this formula in the dataset ... 187 meV per atom

abc: 4.2964 4.2964 16.5114
angles: 90.00 90.00 90.00
With the nearest neighbours (Å) after each atom.
Positions (direct):
Hf 0.0000 0.0000 0.0000  4 Cl 2.57
Hf 0.0000 0.5000 0.2500  4 Cl 2.57
Hf 0.5000 0.0000 0.7500  4 Cl 2.57
Hf 0.5000 0.5000 0.5000  4 Cl 2.57
V 0.0000 0.0000 0.5000  4 Cl 2.55
V 0.0000 0.5000 0.7500  4 Cl 2.55
V 0.5000 0.0000 0.2500  4 Cl 2.55
V 0.5000 0.5000 0.0000  4 Cl 2.55
Cl 0.2445 0.2500 0.6250  2 V 2.55, 2 Hf 2.57
Cl 0.2500 0.7445 0.8750  2 V 2.55, 2 Hf 2.57
Cl 0.2500 0.7555 0.3750  2 V 2.55, 2 Hf 2.57
Cl 0.2555 0.2500 0.1250  2 V 2.55, 2 Hf 2.57
Cl 0.7445 0.7500 0.1250  2 V 2.55, 2 Hf 2.57
Cl 0.7500 0.2445 0.3750  2 V 2.55, 2 Hf 2.57
Cl 0.7500 0.2555 0.8750  2 V 2.55, 2 Hf 2.57
Cl 0.7555 0.7500 0.6250  2 V 2.55, 2 Hf 2.57

***

Record 7
Computed, not measured: a relaxed HfVCl3 crystal at the PBE level of DFT.

Properties
Uncorrected formation energy ... -1.2 eV/f.u.
Excess energy over the best structure of this formula in the dataset ... 0 meV per atom

abc: 4.9699 4.9699 4.9699
angles: 90.00 90.00 90.00
With the nearest neighbours (Å) after each atom.
Positions (direct):
Hf 0.0000 0.0000 0.0000  6 Cl 2.48
V 0.5000 0.5000 0.5000  12 Cl 3.51
Cl 0.0000 0.0000 0.5000  2 Hf 2.48
Cl 0.0000 0.5000 0.0000  2 Hf 2.48
Cl 0.5000 0.0000 0.0000  2 Hf 2.48

***

Record 8
Computed, not measured: a relaxed HfVCl crystal at the PBE level of DFT.

Properties
Uncorrected formation energy ... -1.4 eV/f.u.

abc: 3.4618 4.4967 9.3950
angles: 103.04 100.52 90.01
With the nearest neighbours (Å) after each atom.
Positions (direct):
Hf 0.0738 0.3533 0.1489  2 Cl 2.64, 4 V 2.69-2.83
Hf 0.9262 0.6467 0.8511  2 Cl 2.64, 4 V 2.69-2.83
V 0.4608 0.2016 0.9208  2 V 2.58-2.75, 1 Cl 2.60, 4 Hf 2.69-2.83
V 0.5392 0.7984 0.0792  2 V 2.58-2.75, 1 Cl 2.60, 4 Hf 2.69-2.83
Cl 0.3316 0.3301 0.6602  1 V 2.60, 2 Hf 2.64
Cl 0.6684 0.6699 0.3398  1 V 2.60, 2 Hf 2.64

***

Record 9
Computed, not measured: a relaxed HfV2Cl crystal at the PBE level of DFT.

Properties
Uncorrected formation energy ... 3.3 eV/f.u.
Excess energy over the best structure of this formula in the dataset ... 478 meV per atom

abc: 6.3631 6.3631 6.3631
angles: 90.00 90.00 90.00
With the nearest neighbours (Å) after each atom.
Positions (direct):
Hf 0.0000 0.0000 0.0000  8 V 2.76
Hf 0.0000 0.5000 0.5000  8 V 2.76
Hf 0.5000 0.0000 0.5000  8 V 2.76
Hf 0.5000 0.5000 0.0000  8 V 2.76
V 0.2500 0.2500 0.2500  4 Hf 2.76, 4 Cl 2.76
V 0.2500 0.2500 0.7500  4 Hf 2.76, 4 Cl 2.76
V 0.2500 0.7500 0.2500  4 Hf 2.76, 4 Cl 2.76
V 0.2500 0.7500 0.7500  4 Hf 2.76, 4 Cl 2.76
V 0.7500 0.2500 0.2500  4 Hf 2.76, 4 Cl 2.76
V 0.7500 0.2500 0.7500  4 Hf 2.76, 4 Cl 2.76
V 0.7500 0.7500 0.2500  4 Hf 2.76, 4 Cl 2.76
V 0.7500 0.7500 0.7500  4 Hf 2.76, 4 Cl 2.76
Cl 0.0000 0.0000 0.5000  8 V 2.76
Cl 0.0000 0.5000 0.0000  8 V 2.76
Cl 0.5000 0.0000 0.0000  8 V 2.76
Cl 0.5000 0.5000 0.5000  8 V 2.76

***

Record 10
Computed, not measured: a relaxed HfVCl2 crystal at the PBE level of DFT.

Properties
Uncorrected formation energy ... -1.6 eV/f.u.
Excess energy over the best structure of this formula in the dataset ... 0 meV per atom

abc: 3.1985 3.1985 26.1297
angles: 90.00 90.00 120.00
With the nearest neighbours (Å) after each atom.
Positions (direct):
Hf 0.0000 0.0000 0.0000  6 Cl 2.64
Hf 0.3333 0.6667 0.6667  6 Cl 2.64
Hf 0.6667 0.3333 0.3333  6 Cl 2.64
V 0.0000 0.0000 0.5000  2 Cl 2.47
V 0.3333 0.6667 0.1667  2 Cl 2.47
V 0.6667 0.3333 0.8333  2 Cl 2.47
Cl 0.0000 0.0000 0.4054  1 V 2.47, 3 Hf 2.64
Cl 0.0000 0.0000 0.5946  1 V 2.47, 3 Hf 2.64
Cl 0.3333 0.6667 0.0721  1 V 2.47, 3 Hf 2.64
Cl 0.3333 0.6667 0.2612  1 V 2.47, 3 Hf 2.64
Cl 0.6667 0.3333 0.7388  1 V 2.47, 3 Hf 2.64
Cl 0.6667 0.3333 0.9279  1 V 2.47, 3 Hf 2.64

***

Record 11
Computed, not measured: a relaxed HfVCl3 crystal at the PBE level of DFT.

Properties
Uncorrected formation energy ... 0.1 eV/f.u.
Excess energy over the best structure of this formula in the dataset ... 251 meV per atom

abc: 4.8609 4.8609 4.8609
angles: 90.00 90.00 90.00
With the nearest neighbours (Å) after each atom.
Positions (direct):
Hf 0.0000 0.0000 0.0000  12 Cl 3.44
V 0.5000 0.5000 0.5000  6 Cl 2.43
Cl 0.0000 0.5000 0.5000  2 V 2.43
Cl 0.5000 0.0000 0.5000  2 V 2.43
Cl 0.5000 0.5000 0.0000  2 V 2.43

***

Record 12
Computed, not measured: a relaxed HfV3Cl crystal at the PBE level of DFT.

Properties
Uncorrected formation energy ... 1.6 eV/f.u.
Excess energy over the best structure of this formula in the dataset ... 0 meV per atom

abc: 4.3077 4.3077 4.3077
angles: 90.00 90.00 90.00
With the nearest neighbours (Å) after each atom.
Positions (direct):
Hf 0.0000 0.0000 0.0000  12 V 3.05
V 0.0000 0.5000 0.5000  2 Cl 2.15
V 0.5000 0.0000 0.5000  2 Cl 2.15
V 0.5000 0.5000 0.0000  2 Cl 2.15
Cl 0.5000 0.5000 0.5000  6 V 2.15

***

Record 13
Computed, not measured: a relaxed HfV2Cl crystal at the PBE level of DFT.

Properties
Uncorrected formation energy ... 1.4 eV/f.u.
Excess energy over the best structure of this formula in the dataset ... 0 meV per atom

abc: 7.2944 7.2944 4.9757
angles: 90.00 90.00 90.00
With the nearest neighbours (Å) after each atom.
Positions (direct):
Hf 0.0000 0.0000 0.0000  2 Cl 2.49
Hf 0.0000 0.5000 0.2500  2 Cl 2.49
Hf 0.5000 0.0000 0.7500  2 Cl 2.49
Hf 0.5000 0.5000 0.5000  2 Cl 2.49
V 0.1638 0.2500 0.6250  2 Cl 2.27
V 0.2500 0.6638 0.8750  2 Cl 2.27
V 0.2500 0.8362 0.3750  2 Cl 2.27
V 0.3362 0.2500 0.1250  2 Cl 2.27
V 0.6638 0.7500 0.1250  2 Cl 2.27
V 0.7500 0.1638 0.3750  2 Cl 2.27
V 0.7500 0.3362 0.8750  2 Cl 2.27
V 0.8362 0.7500 0.6250  2 Cl 2.27
Cl 0.0000 0.0000 0.5000  4 V 2.27, 2 Hf 2.49
Cl 0.0000 0.5000 0.7500  4 V 2.27, 2 Hf 2.49
Cl 0.5000 0.0000 0.2500  4 V 2.27, 2 Hf 2.49
Cl 0.5000 0.5000 0.0000  4 V 2.27, 2 Hf 2.49

***

Record 14
Computed, not measured: a relaxed HfWCl2 crystal at the PBE level of DFT.

Properties
Uncorrected formation energy ... -0.4 eV/f.u.
Excess energy over the best structure of this formula in the dataset ... 0 meV per atom

abc: 3.0524 3.0524 26.2705
angles: 90.00 90.00 120.00
With the nearest neighbours (Å) after each atom.
Positions (direct):
Hf 0.0000 0.0000 0.0000  6 Cl 2.62
Hf 0.3333 0.6667 0.6667  6 Cl 2.62
Hf 0.6667 0.3333 0.3333  6 Cl 2.62
W 0.0000 0.0000 0.5000  2 Cl 2.44
W 0.3333 0.6667 0.1667  2 Cl 2.44
W 0.6667 0.3333 0.8333  2 Cl 2.44
Cl 0.0000 0.0000 0.4069  1 W 2.44, 3 Hf 2.62
Cl 0.0000 0.0000 0.5931  1 W 2.44, 3 Hf 2.62
Cl 0.3333 0.6667 0.0736  1 W 2.44, 3 Hf 2.62
Cl 0.3333 0.6667 0.2597  1 W 2.44, 3 Hf 2.62
Cl 0.6667 0.3333 0.7403  1 W 2.44, 3 Hf 2.62
Cl 0.6667 0.3333 0.9264  1 W 2.44, 3 Hf 2.62

***

Record 15
Computed, not measured: a relaxed HfW2Cl2 crystal at the PBE level of DFT.

Properties
Uncorrected formation energy ... 4.4 eV/f.u.
Excess energy over the best structure of this formula in the dataset ... 0 meV per atom

abc: 7.8317 7.8317 2.9206
angles: 90.00 90.00 90.00
With the nearest neighbours (Å) after each atom.
Positions (direct):
Hf 0.0000 0.0000 0.0000  4 Cl 2.81, 2 Hf 2.92
Hf 0.5000 0.5000 0.0000  4 Cl 2.81, 2 Hf 2.92
W 0.1166 0.3834 0.5000  2 Cl 2.42, 1 W 2.58
W 0.3834 0.8834 0.5000  2 Cl 2.42, 1 W 2.58
W 0.6166 0.1166 0.5000  2 Cl 2.42, 1 W 2.58
W 0.8834 0.6166 0.5000  2 Cl 2.42, 1 W 2.58
Cl 0.2094 0.7094 0.0000  2 W 2.42
Cl 0.2906 0.2094 0.0000  2 W 2.42
Cl 0.7094 0.7906 0.0000  2 W 2.42
Cl 0.7906 0.2906 0.0000  2 W 2.42

***

Record 16
Computed, not measured: a relaxed HfWCl2 crystal at the PBE level of DFT.

Properties
Uncorrected formation energy ... 3.2 eV/f.u.
Excess energy over the best structure of this formula in the dataset ... 912 meV per atom

abc: 6.4747 6.4747 6.4747
angles: 90.00 90.00 90.00
With the nearest neighbours (Å) after each atom.
Positions (direct):
Hf 0.0000 0.0000 0.0000  8 Cl 2.80
Hf 0.0000 0.5000 0.5000  8 Cl 2.80
Hf 0.5000 0.0000 0.5000  8 Cl 2.80
Hf 0.5000 0.5000 0.0000  8 Cl 2.80
W 0.0000 0.0000 0.5000  8 Cl 2.80
W 0.0000 0.5000 0.0000  8 Cl 2.80
W 0.5000 0.0000 0.0000  8 Cl 2.80
W 0.5000 0.5000 0.5000  8 Cl 2.80
Cl 0.2500 0.2500 0.2500  4 Hf 2.80, 4 W 2.80
Cl 0.2500 0.2500 0.7500  4 W 2.80, 4 Hf 2.80
Cl 0.2500 0.7500 0.2500  4 Hf 2.80, 4 W 2.80
Cl 0.2500 0.7500 0.7500  4 Hf 2.80, 4 W 2.80
Cl 0.7500 0.2500 0.2500  4 Hf 2.80, 4 W 2.80
Cl 0.7500 0.2500 0.7500  4 Hf 2.80, 4 W 2.80
Cl 0.7500 0.7500 0.2500  4 Hf 2.80, 4 W 2.80
Cl 0.7500 0.7500 0.7500  4 Hf 2.80, 4 W 2.80

***

Record 17
Computed, not measured: a relaxed HfW2Cl2 crystal at the PBE level of DFT.

Properties
Uncorrected formation energy ... 4.9 eV/f.u.
Excess energy over the best structure of this formula in the dataset ... 114 meV per atom

abc: 4.2774 4.2774 9.7693
angles: 90.00 90.00 90.00
With the nearest neighbours (Å) after each atom.
Positions (direct):
Hf 0.0000 0.0000 0.0000  8 W 3.25, 10 Cl 3.30-3.56
Hf 0.5000 0.5000 0.5000  8 W 3.25, 10 Cl 3.30-3.56
W 0.0000 0.5000 0.2500  4 Cl 2.41
W 0.0000 0.5000 0.7500  4 Cl 2.41
W 0.5000 0.0000 0.2500  4 Cl 2.41
W 0.5000 0.0000 0.7500  4 Cl 2.41
Cl 0.0000 0.0000 0.3639  4 W 2.41, 1 Cl 2.66
Cl 0.0000 0.0000 0.6361  4 W 2.41, 1 Cl 2.66
Cl 0.5000 0.5000 0.1361  4 W 2.41, 1 Cl 2.66
Cl 0.5000 0.5000 0.8639  4 W 2.41, 1 Cl 2.66

***

Record 18
Computed, not measured: a relaxed HfWCl3 crystal at the PBE level of DFT.

Properties
Uncorrected formation energy ... 4.1 eV/f.u.
Excess energy over the best structure of this formula in the dataset ... 398 meV per atom

abc: 4.8447 4.8447 4.8447
angles: 90.00 90.00 90.00
With the nearest neighbours (Å) after each atom.
Positions (direct):
Hf 0.0000 0.0000 0.0000  12 Cl 3.43
W 0.5000 0.5000 0.5000  6 Cl 2.42
Cl 0.0000 0.5000 0.5000  2 W 2.42
Cl 0.5000 0.0000 0.5000  2 W 2.42
Cl 0.5000 0.5000 0.0000  2 W 2.42

***

Record 19
Computed, not measured: a relaxed Hf2WCl crystal at the PBE level of DFT.

Properties
Uncorrected formation energy ... 3.8 eV/f.u.
Excess energy over the best structure of this formula in the dataset ... 532 meV per atom

abc: 5.1831 5.1831 14.8398
angles: 90.00 90.00 90.00
With the nearest neighbours (Å) after each atom.
Positions (direct):
Hf 0.2343 0.2500 0.1250  2 W 2.57, 2 Cl 2.65
Hf 0.2500 0.7343 0.3750  2 W 2.57, 2 Cl 2.65
Hf 0.2500 0.7657 0.8750  2 W 2.57, 2 Cl 2.65
Hf 0.2657 0.2500 0.6250  2 W 2.57, 2 Cl 2.65
Hf 0.7343 0.7500 0.6250  2 W 2.57, 2 Cl 2.65
Hf 0.7500 0.2343 0.8750  2 W 2.57, 2 Cl 2.65
Hf 0.7500 0.2657 0.3750  2 W 2.57, 2 Cl 2.65
Hf 0.7657 0.7500 0.1250  2 W 2.57, 2 Cl 2.65
W 0.0000 0.0000 0.0000  4 Hf 2.57
W 0.0000 0.5000 0.2500  4 Hf 2.57
W 0.5000 0.0000 0.7500  4 Hf 2.57
W 0.5000 0.5000 0.5000  4 Hf 2.57
Cl 0.0000 0.0000 0.5000  4 Hf 2.65
Cl 0.0000 0.5000 0.7500  4 Hf 2.65
Cl 0.5000 0.0000 0.2500  4 Hf 2.65
Cl 0.5000 0.5000 0.0000  4 Hf 2.65

***

Record 20
Computed, not measured: a relaxed Hf2WCl2 crystal at the PBE level of DFT.

Properties
Uncorrected formation energy ... 1.3 eV/f.u.
Excess energy over the best structure of this formula in the dataset ... 63 meV per atom

abc: 7.8676 7.8676 2.9158
angles: 90.00 90.00 90.00
With the nearest neighbours (Å) after each atom.
Positions (direct):
Hf 0.1900 0.3100 0.0000  2 Cl 2.56
Hf 0.3100 0.8100 0.0000  2 Cl 2.56
Hf 0.6900 0.1900 0.0000  2 Cl 2.56
Hf 0.8100 0.6900 0.0000  2 Cl 2.56
W 0.0000 0.0000 0.5000  2 W 2.92, 4 Cl 3.13, 8 Hf 3.21
W 0.5000 0.5000 0.5000  2 W 2.92, 4 Cl 3.13, 8 Hf 3.21
Cl 0.1212 0.6212 0.5000  2 Hf 2.56, 1 Cl 2.70
Cl 0.3788 0.1212 0.5000  2 Hf 2.56, 1 Cl 2.70
Cl 0.6212 0.8788 0.5000  2 Hf 2.56, 1 Cl 2.70
Cl 0.8788 0.3788 0.5000  2 Hf 2.56, 1 Cl 2.70